A geometry-optimized Ac3CoPd2O9 structure, computed with PBE+U.

a b c (Å): 5.7114 5.7114 7.0226
angles (deg): 90.00 90.00 120.00
Last column: nearest neighbours and their distance in Å.
Space group P-3m1 (No. 164)
Symmetry-distinct sites (fractional):
Ac 0.0000 0.0000 0.0000 [1 per cell]  12 O 2.86-2.87
Ac 0.3333 0.6667 0.6637 [2 per cell]  12 O 2.84-2.88
Co 0.0000 0.0000 0.5000 [1 per cell]  6 O 1.99
Pd 0.3333 0.6667 0.1720 [2 per cell]  6 O 2.03-2.04
O 0.0000 0.5000 0.0000 [3 per cell]  2 Pd 2.04
O 0.1644 0.3287 0.3361 [6 per cell]  1 Co 1.99, 1 Pd 2.03

VASP energy	-0.499	Ry/atom
magnetization	2.16	μB/f.u.